Computed, not measured: a geometry-optimized CsFe3Ni structure at the PBE-GGA level of DFT.

Structure (extended XYZ):
```
5
Lattice="4.700 0.000 0.000 0.000 4.700 0.000 0.000 0.000 4.700" Properties=species:S:1:pos:R:3 pbc="T T T"
Cs 0.000 0.000 0.000
Fe 0.000 0.000 2.350
Fe 0.000 2.350 0.000
Fe 2.350 0.000 0.000
Ni 2.350 2.350 2.350
```

Calculated values
* volume: 103.84 Å³/cell
* calculated formation energy: 2.801 eV per atom
* symmetry: Pm-3m, No. 221

Computed, not measured: a geometry-optimized SrPr2In3 structure at the PBE-GGA level of DFT.

Structure (extended XYZ):
```
6
Lattice="3.953 0.000 0.000 0.000 3.953 0.000 0.000 0.000 11.911" Properties=species:S:1:pos:R:3 pbc="T T T"
Sr 0.000 0.000 0.000
Pr 0.000 0.000 4.005
Pr 0.000 0.000 7.907
In 1.977 1.977 2.130
In 1.977 1.977 5.956
In 1.977 1.977 9.781
```

Calculated values
* volume: 186.16 Å³/cell
* calculated formation energy: -0.457 eV per atom
* symmetry: P4/mmm, No. 123

Computed, not measured: a geometry-optimized GaTeS2 structure at the PBE-GGA level of DFT.

Structure (extended XYZ):
```
4
Lattice="1.915 1.105 8.784 -1.915 1.105 8.784 0.000 -2.211 8.784" Properties=species:S:1:pos:R:3 pbc="T T T"
Ga 0.000 0.000 0.000
Te 0.000 0.000 13.176
S 0.000 0.000 2.829
S 0.000 0.000 23.524
```

Calculated values
* ΔE_f (raw): 1.00 eV/f.u.
* volume: 111.55 Å³/cell
* symmetry: R-3m, No. 166

Computed, not measured: a geometry-optimized HfAsW structure at the PBE-GGA level of DFT.

Structure (extended XYZ):
```
6
Lattice="-1.722 1.737 9.244 1.722 -1.737 9.244 1.722 1.737 -9.244" Properties=species:S:1:pos:R:3 pbc="T T T"
Hf 0.000 0.000 0.000
Hf 0.000 1.737 6.062
As 1.722 0.000 4.948
As 0.000 0.000 8.128
W 0.000 0.000 2.985
W 0.000 0.000 10.919
```

Calculated values
* volume: 110.61 Å³/cell
* calculated formation energy: -0.340 eV per atom
* symmetry: Imm2, No. 44

Computed, not measured: a geometry-optimized Ca2CdCo structure at the PBE-GGA level of DFT.

Structure (extended XYZ):
```
8
Lattice="-4.866 4.866 2.551 4.866 -4.866 2.551 4.866 4.866 -2.551" Properties=species:S:1:pos:R:3 pbc="T T T"
Ca 0.935 2.433 0.638
Ca -2.433 3.932 1.913
Ca -0.935 7.300 0.638
Ca 2.433 5.801 1.913
Cd 4.866 0.000 1.275
Cd 0.000 0.000 2.551
Co 0.000 0.000 0.000
Co 0.000 4.866 1.275
```

Calculated values
* volume: 241.62 Å³/cell
* calculated formation energy: 0.247 eV per atom
* symmetry: I-42d, No. 122

Computed, not measured: a geometry-optimized Y3CdIn3 structure at the PBE-GGA level of DFT.

Structure (extended XYZ):
```
14
Lattice="5.719 -2.356 0.000 5.719 2.356 0.000 -4.757 0.000 14.130" Properties=species:S:1:pos:R:3 pbc="T T T"
Y -1.441 0.000 5.362
Y -3.232 0.000 13.023
Y 1.601 0.000 3.087
Y 5.080 0.000 11.042
Y 9.913 0.000 1.106
Y 8.123 0.000 8.768
Cd 0.083 0.000 8.669
Cd 6.598 0.000 5.461
In 2.100 0.000 6.347
In -0.066 0.000 13.098
In 1.896 0.000 10.892
In 4.786 0.000 3.238
In 6.747 0.000 1.031
In 4.581 0.000 7.782
```

Calculated values
* volume: 380.76 Å³/cell
* calculated formation energy: -0.436 eV per atom
* symmetry: C2/m, No. 12

Computed, not measured: a geometry-optimized Ga6TcAu structure at the PBE-GGA level of DFT.

Structure (extended XYZ):
```
8
Lattice="3.688 -3.729 0.000 3.688 3.729 0.000 -2.032 0.000 6.019" Properties=species:S:1:pos:R:3 pbc="T T T"
Ga 1.591 2.142 4.171
Ga 3.752 2.142 1.848
Ga 2.437 0.000 0.067
Ga 2.906 0.000 5.953
Ga 1.591 -2.142 4.171
Ga 3.752 -2.142 1.848
Tc 0.000 0.000 0.000
Au 2.672 0.000 3.010
```

Calculated values
* volume: 165.53 Å³/cell
* calculated formation energy: 0.049 eV per atom
* symmetry: C2/m, No. 12

Computed, not measured: a geometry-optimized Ac4HgRh structure at the PBE-GGA level of DFT.

Structure (extended XYZ):
```
24
Lattice="0.000 7.447 7.447 7.447 0.000 7.447 7.447 7.447 0.000" Properties=species:S:1:pos:R:3 pbc="T T T"
Ac 7.447 7.447 2.798
Ac 7.447 2.798 7.447
Ac 12.096 7.447 7.447
Ac 5.985 5.985 5.985
Ac 8.909 8.909 5.985
Ac 8.909 5.985 8.909
Ac 11.170 11.170 8.332
Ac 11.170 8.332 11.170
Ac 14.009 11.170 11.170
Ac 5.985 8.909 8.909
Ac 2.798 7.447 7.447
Ac 7.447 12.096 7.447
Ac 7.447 7.447 12.096
Ac 8.332 11.170 11.170
Ac 11.170 14.009 11.170
Ac 11.170 11.170 14.009
Hg 2.460 2.460 2.460
Hg 4.987 4.987 2.460
Hg 4.987 2.460 4.987
Hg 2.460 4.987 4.987
Rh 9.059 5.835 5.835
Rh 5.835 9.059 5.835
Rh 5.835 5.835 9.059
Rh 9.059 9.059 9.059
```

Calculated values
* volume: 825.98 Å³/cell
* calculated formation energy: -0.423 eV per atom
* symmetry: F-43m, No. 216

Computed, not measured: a geometry-optimized Hf2Pb2F structure at the PBE-GGA level of DFT.

Structure (extended XYZ):
```
10
Lattice="6.360 0.000 0.000 0.000 6.360 0.000 0.000 0.000 5.287" Properties=species:S:1:pos:R:3 pbc="T T T"
Hf 1.032 2.148 0.000
Hf 2.148 5.328 0.000
Hf 4.213 1.032 0.000
Hf 5.328 4.213 0.000
Pb 1.120 4.300 2.643
Pb 2.060 1.120 2.643
Pb 4.300 5.240 2.643
Pb 5.240 2.060 2.643
F 0.000 0.000 0.000
F 3.180 3.180 0.000
```

Calculated values
* ΔE_f (raw): -3.02 eV/f.u.
* volume: 213.87 Å³/cell
* symmetry: P4/mbm, No. 127

Computed, not measured: a geometry-optimized NaMgMoCl6 structure at the PBE-GGA level of DFT.

Structure (extended XYZ):
```
18
Lattice="6.430 0.000 0.000 -3.215 5.569 0.000 0.000 0.000 12.526" Properties=species:S:1:pos:R:3 pbc="T T T"
Na 0.000 0.000 0.000
Na 0.000 0.000 6.263
Mg 0.000 3.713 3.131
Mg 3.215 1.856 9.394
Mo 0.000 3.713 9.394
Mo 3.215 1.856 3.131
Cl -1.127 2.025 7.992
Cl -2.025 3.581 10.797
Cl 1.127 2.025 10.797
Cl -0.898 5.532 7.992
Cl 2.317 0.036 1.729
Cl 1.190 1.988 4.534
Cl 2.025 3.581 7.992
Cl 0.898 5.532 10.797
Cl 4.114 0.036 4.534
Cl 2.088 3.544 1.729
Cl 5.240 1.988 1.729
Cl 4.342 3.544 4.534
```

Calculated values
* ΔE_f (raw): -12.56 eV/f.u.
* volume: 448.54 Å³/cell
* symmetry: P-31c, No. 163

Computed, not measured: a geometry-optimized Pm2HoHf structure at the PBE-GGA level of DFT.

Structure (extended XYZ):
```
4
Lattice="4.933 0.000 0.000 0.000 4.933 0.000 0.000 0.000 4.853" Properties=species:S:1:pos:R:3 pbc="T T T"
Pm 0.000 2.466 0.000
Pm 2.466 0.000 0.000
Ho 0.000 0.000 2.426
Hf 2.466 2.466 2.426
```

Calculated values
* volume: 118.08 Å³/cell
* calculated formation energy: 0.166 eV per atom
* symmetry: P4/mmm, No. 123

Computed, not measured: a geometry-optimized Na2IrIF structure at the PBE-GGA level of DFT.

Structure (extended XYZ):
```
5
Lattice="5.764 0.000 0.000 0.000 5.764 0.000 0.000 0.000 3.980" Properties=species:S:1:pos:R:3 pbc="T T T"
Na 0.000 2.882 0.000
Na 2.882 0.000 0.000
Ir 0.000 0.000 0.000
I 2.882 2.882 1.990
F 0.000 0.000 1.990
```

Calculated values
* ΔE_f (raw): -2.03 eV/f.u.
* volume: 132.23 Å³/cell
* symmetry: P4/mmm, No. 123

Computed, not measured: a geometry-optimized HoPuNi structure at the PBE-GGA level of DFT.

Structure (extended XYZ):
```
3
Lattice="3.727 0.000 0.000 -1.864 3.228 0.000 0.000 0.000 6.274" Properties=species:S:1:pos:R:3 pbc="T T T"
Ho 0.000 0.000 0.000
Pu 0.000 2.152 3.264
Ni 1.864 1.076 1.623
```

Calculated values
* volume: 75.48 Å³/cell
* calculated formation energy: 0.038 eV per atom
* symmetry: P3m1, No. 156

Computed, not measured: a geometry-optimized PrSmGaOs structure at the PBE-GGA level of DFT.

Structure (extended XYZ):
```
4
Lattice="0.000 3.598 3.598 3.598 0.000 3.598 3.598 3.598 0.000" Properties=species:S:1:pos:R:3 pbc="T T T"
Pr 0.000 0.000 0.000
Sm 3.598 3.598 3.598
Ga 1.799 1.799 1.799
Os 5.397 5.397 5.397
```

Calculated values
* volume: 93.16 Å³/cell
* calculated formation energy: -0.186 eV per atom
* symmetry: F-43m, No. 216

Computed, not measured: a geometry-optimized EuTlGe4 structure at the PBE-GGA level of DFT.

Structure (extended XYZ):
```
6
Lattice="0.000 4.067 4.067 4.067 0.000 4.067 4.067 4.067 0.000" Properties=species:S:1:pos:R:3 pbc="T T T"
Eu 0.000 0.000 0.000
Tl 6.101 6.101 6.101
Ge 3.044 3.044 3.044
Ge 5.090 5.090 3.044
Ge 5.090 3.044 5.090
Ge 3.044 5.090 5.090
```

Calculated values
* volume: 134.54 Å³/cell
* calculated formation energy: -0.163 eV per atom
* symmetry: F-43m, No. 216

Computed, not measured: a geometry-optimized Ce3Si2Ru2 structure at the PBE-GGA level of DFT.

Structure (extended XYZ):
```
28
Lattice="5.548 0.000 0.000 0.000 7.887 0.000 0.000 0.000 13.235" Properties=species:S:1:pos:R:3 pbc="T T T"
Ce 0.732 1.902 3.309
Ce 0.732 2.041 9.927
Ce 1.921 4.718 1.302
Ce 1.921 4.718 5.316
Ce 1.921 7.113 7.919
Ce 1.921 7.113 11.934
Ce 3.627 0.774 1.302
Ce 3.627 0.774 5.316
Ce 3.627 3.169 7.919
Ce 3.627 3.169 11.934
Ce 4.816 5.846 3.309
Ce 4.816 5.985 9.927
Si 0.713 1.972 0.000
Si 0.713 1.972 6.618
Si 2.023 4.800 9.927
Si 2.023 7.031 3.309
Si 3.525 0.857 9.927
Si 3.525 3.087 3.309
Si 4.835 5.915 0.000
Si 4.835 5.915 6.618
Ru 0.795 4.204 7.813
Ru 0.795 4.204 12.041
Ru 0.795 7.626 1.195
Ru 0.795 7.626 5.423
Ru 4.753 0.261 7.813
Ru 4.753 0.261 12.041
Ru 4.753 3.683 1.195
Ru 4.753 3.683 5.423
```

Calculated values
* ΔE_f (raw): -4.83 eV/f.u.
* volume: 579.15 Å³/cell
* symmetry: Pbcm, No. 57

Computed, not measured: a geometry-optimized RbZn9In4 structure at the PBE-GGA level of DFT.

Structure (extended XYZ):
```
28
Lattice="-4.755 4.755 6.466 4.755 -4.755 6.466 4.755 4.755 -6.466" Properties=species:S:1:pos:R:3 pbc="T T T"
Rb 0.000 0.000 3.233
Rb 0.000 0.000 9.699
Zn 4.755 0.000 0.000
Zn 7.629 0.401 0.000
Zn 3.745 -1.010 2.163
Zn 0.401 1.880 0.000
Zn 5.765 -1.010 4.303
Zn 5.765 1.010 2.163
Zn 5.156 2.875 0.000
Zn 3.745 1.010 4.303
Zn 2.875 4.353 0.000
Zn 0.000 4.755 0.000
Zn 1.880 0.401 6.466
Zn 1.010 3.745 2.163
Zn -0.401 1.880 6.466
Zn -1.010 3.745 4.303
Zn -1.010 5.765 2.163
Zn 4.353 2.875 6.466
Zn 1.010 5.765 4.303
Zn -2.875 4.353 6.466
In 2.950 1.805 -1.690
In 2.950 -1.805 4.777
In 2.950 1.805 1.690
In 2.950 -1.805 8.156
In 1.805 6.560 -1.690
In 1.805 2.950 4.777
In 1.805 6.560 1.690
In 1.805 2.950 8.156
```

Calculated values
* volume: 584.73 Å³/cell
* calculated formation energy: 0.015 eV per atom
* symmetry: I4/mcm, No. 140

Computed, not measured: a geometry-optimized Co2SiBi2 structure at the PBE-GGA level of DFT.

Structure (extended XYZ):
```
5
Lattice="-1.735 1.735 8.405 1.735 -1.735 8.405 1.735 1.735 -8.405" Properties=species:S:1:pos:R:3 pbc="T T T"
Co 1.735 0.000 4.202
Co 0.000 1.735 4.202
Si 0.000 0.000 0.000
Bi 0.000 0.000 6.404
Bi 0.000 0.000 10.406
```

Calculated values
* ΔE_f (raw): 2.63 eV/f.u.
* volume: 101.22 Å³/cell
* symmetry: I4/mmm, No. 139

Computed, not measured: a geometry-optimized AcHoErTh structure at the PBE-GGA level of DFT.

Structure (extended XYZ):
```
4
Lattice="0.000 4.094 4.094 4.094 0.000 4.094 4.094 4.094 0.000" Properties=species:S:1:pos:R:3 pbc="T T T"
Ac 0.000 0.000 0.000
Ho 6.141 6.141 6.141
Er 2.047 2.047 2.047
Th 4.094 4.094 4.094
```

Calculated values
* volume: 137.26 Å³/cell
* calculated formation energy: 0.133 eV per atom
* symmetry: F-43m, No. 216

Computed, not measured: a geometry-optimized TbHfPSe structure at the PBE-GGA level of DFT.

Structure (extended XYZ):
```
4
Lattice="1.905 1.100 6.770 -1.905 1.100 6.770 0.000 -2.199 6.770" Properties=species:S:1:pos:R:3 pbc="T T T"
Tb 0.000 0.000 0.000
Hf 0.000 0.000 16.489
P 0.000 0.000 8.398
Se 0.000 0.000 4.715
```

Calculated values
* ΔE_f (raw): -5.88 eV/f.u.
* volume: 85.06 Å³/cell
* symmetry: R3m, No. 160

no.,E (eV/f.u.)
1,-18.02
2,-22.20
3,-13.43
4,-28.58
5,-11.04
6,-31.57
7,-31.42
8,-26.62
9,-32.21
10,-37.39
11,-23.37
12,-16.95
13,-24.58
14,-24.50
15,-32.09
16,-52.03
17,-23.18
18,-24.76
19,-20.14
20,-29.36